A relaxed structure of Sr2ScCu. Source: Alexandria via LeMat-Bulk, functional PBE-GGA.

Cell: 3.6634 4.1001 18.2321 Å, 90.00 90.00 90.00°
With the nearest neighbours (Å) after each atom.
Space group Immm (No. 71)
Unique sites:
1 Sr 0.0000 0.0000 0.1559 [4 per cell]  2 Cu 3.38, 2 Sc 3.50, 2 Sr 3.66
2 Sc 0.0000 0.5000 0.0000 [2 per cell]  4 Cu 2.75
3 Cu 0.0000 0.5000 0.5000 [2 per cell]  4 Sc 2.75

Calculated total energy = -3.296 eV/atom
N(E_F) = 1.334 states/eV/atom
Magnetization = 0.001 μB/atom